No. 1
# Li3YTl2, optimized geometry, DFT GGA-PBE
data_Li3YTl2
_chemical_formula_sum 'Li12 Y4 Tl8'
_cell_length_a 17.422
_cell_length_b 4.553
_cell_length_c 6.660
_cell_angle_alpha 90.00
_cell_angle_beta 106.47
_cell_angle_gamma 90.00
_space_group_name_H-M_alt 'C 1 2/m 1'
_space_group_IT_number 12
_space_group_name_Hall '-C 2y'
loop_
_atom_site_label
_atom_site_fract_x
_atom_site_fract_y
_atom_site_fract_z
Li1 0.071 0.000 0.128
Li2 0.133 0.500 0.006
Li3 0.194 0.500 0.408
Y1 0.113 0.000 0.649
Tl1 0.018 0.500 0.280
Tl2 0.235 0.000 0.162
# - ρ (g cm⁻³) = 6.797
# - calculated volume (Å³ per cell) = 507
# - energy relative to the elements (eV per atom) = -0.23

=====

No. 2
# LiY2Tl2, optimized geometry, DFT GGA-PBE
data_LiY2Tl2
_chemical_formula_sum 'Li4 Y8 Tl8'
_cell_length_a 6.625
_cell_length_b 12.947
_cell_length_c 6.301
_cell_angle_alpha 90.00
_cell_angle_beta 90.00
_cell_angle_gamma 90.00
_space_group_name_H-M_alt 'I b a m'
_space_group_IT_number 72
_space_group_name_Hall '-I 2 2c'
loop_
_atom_site_label
_atom_site_fract_x
_atom_site_fract_y
_atom_site_fract_z
Li1 0.000 0.000 0.250
Y1 0.209 0.348 0.000
Tl1 0.238 0.109 0.000
# - ρ (g cm⁻³) = 7.294
# - calculated volume (Å³ per cell) = 540
# - energy relative to the elements (eV per atom) = -0.16

=====

No. 3
# LiY2Tl, optimized geometry, DFT GGA-PBE
data_LiY2Tl
_chemical_formula_sum 'Li2 Y4 Tl2'
_cell_length_a 10.406
_cell_length_b 3.619
_cell_length_c 6.127
_cell_angle_alpha 90.00
_cell_angle_beta 101.29
_cell_angle_gamma 90.00
_space_group_name_H-M_alt 'C 1 2/m 1'
_space_group_IT_number 12
_space_group_name_Hall '-C 2y'
loop_
_atom_site_label
_atom_site_fract_x
_atom_site_fract_y
_atom_site_fract_z
Li1 0.000 0.000 0.000
Y1 0.245 0.000 0.741
Tl1 0.000 0.500 0.500
# - ρ (g cm⁻³) = 5.711
# - calculated volume (Å³ per cell) = 226
# - energy relative to the elements (eV per atom) = -0.06

=====

No. 4
# Li2YTl, optimized geometry, DFT GGA-PBE
data_Li2YTl
_chemical_formula_sum 'Li4 Y2 Tl2'
_cell_length_a 9.985
_cell_length_b 3.751
_cell_length_c 5.238
_cell_angle_alpha 90.00
_cell_angle_beta 107.19
_cell_angle_gamma 90.00
_space_group_name_H-M_alt 'C 1 2/m 1'
_space_group_IT_number 12
_space_group_name_Hall '-C 2y'
loop_
_atom_site_label
_atom_site_fract_x
_atom_site_fract_y
_atom_site_fract_z
Li1 0.233 0.000 0.199
Y1 0.000 0.000 0.500
Tl1 0.000 0.500 0.000
# - ρ (g cm⁻³) = 5.442
# - calculated volume (Å³ per cell) = 187
# - energy relative to the elements (eV per atom) = -0.14

=====

- Which of these has the lowest ρ?
  Li2YTl

=====

- What is the ρ in the third record?
  5.711 g cm⁻³

=====

- Which value of calculated volume does entry 2 give?
  540 Å³ per cell

=====

- What is the formula in the first record?
  Li3YTl2